Material: CsTc6S8
Method: DFT, PBE
State: optimized geometry

Calculated values
DOS at the Fermi energy: 9.9 states/eV/f.u.
formation energy without anion corrections: -0.58 eV per atom

abc: 9.4820 9.4820 11.9793
angles: 90.00 90.00 120.00
Space group R-3 (No. 148, hexagonal axes)
One atom of each set of equivalent atoms:
Cs1 0.0000 0.0000 0.0000 x3
Tc1 0.0079 0.1638 0.4101 x18
S1 0.0000 0.0000 0.2609 x6
S2 0.0154 0.3042 0.5863 x18